Entry 1:
DFT (GGA-PBE) results for a relaxed YLuTa crystal.

Computed properties:
ΔE to the lowest computed polymorph, meV per atom: 0.0
E_tot, eV for the cell shown: -80.17
DFT formation energy, meV/atom: 933.1

Unit cell a=7.099 b=7.099 c=7.099 alpha=90.00 beta=90.00 gamma=90.00
Space group F-43m (No. 216)
Inequivalent atoms, fractional coordinates:
Y (0.000, 0.000, 0.000) [4 per cell]
Lu (0.000, 0.000, 0.500) [4 per cell]
Ta (0.250, 0.250, 0.750) [4 per cell]

=====

Entry 2:
DFT (GGA-PBE) results for a relaxed Nd2GdCd3Ag3 crystal.

Computed properties:
E_tot, eV for the cell shown: -56.74
DFT formation energy, meV/atom: -336.9

Unit cell a=4.001 b=13.777 c=7.975 alpha=90.00 beta=90.00 gamma=90.00
Space group Amm2 (No. 38)
Inequivalent atoms, fractional coordinates:
Nd (0.000, 0.203, 0.000) [4 per cell]
Gd (0.000, 0.000, 0.391) [2 per cell]
Cd (0.500, 0.000, 0.058) [2 per cell]
Cd (0.500, 0.129, 0.666) [4 per cell]
Ag (0.000, 0.000, 0.795) [2 per cell]
Ag (0.500, 0.164, 0.299) [4 per cell]

=====

Entry 3:
DFT (GGA-PBE) results for a relaxed ErInPtC crystal.

Computed properties:
ΔE to the lowest computed polymorph, meV per atom: 0.0
E_tot, eV for the cell shown: -46.68

Unit cell a=4.1640 b=4.1640 c=10.7745 alpha=90.00 beta=90.00 gamma=120.00
Space group P-6m2 (No. 187)
Inequivalent atoms, fractional coordinates:
Er (0.0000, 0.0000, 0.0000) [1 per cell]
Er (0.3333, 0.6667, 0.5000) [1 per cell]
In (0.6667, 0.3333, 0.2376) [2 per cell]
Pt (0.0000, 0.0000, 0.3625) [2 per cell]
C (0.3333, 0.6667, 0.0617) [2 per cell]

=====

Entry 4:
DFT (GGA-PBE) results for a relaxed TmUSe3 crystal.

Computed properties:
E_tot, eV for the cell shown: -134.18

Unit cell a=3.942 b=13.155 c=9.880 alpha=90.00 beta=90.00 gamma=90.00
Space group Cmcm (No. 63)
Inequivalent atoms, fractional coordinates:
Tm (0.000, 0.000, 0.000) [4 per cell]
U (0.000, 0.250, 0.250) [4 per cell]
Se (0.000, 0.091, 0.750) [4 per cell]
Se (0.000, 0.354, 0.566) [8 per cell]

=====

Entry 5:
DFT (GGA-PBE) results for a relaxed RbLuNiS3 crystal.

Computed properties:
ΔE to the lowest computed polymorph, meV per atom: 104.9
E_tot, eV for the cell shown: -122.59

Unit cell a=10.578 b=4.070 c=12.458 alpha=90.00 beta=90.00 gamma=90.00
Space group Pnma (No. 62)
Inequivalent atoms, fractional coordinates:
Rb (0.178, 0.250, 0.006) [4 per cell]
Lu (0.003, 0.250, 0.682) [4 per cell]
Ni (0.241, 0.250, 0.289) [4 per cell]
S (0.049, 0.750, 0.819) [4 per cell]
S (0.097, 0.250, 0.430) [4 per cell]
S (0.233, 0.750, 0.221) [4 per cell]

=====

Entry 6:
DFT (GGA-PBE) results for a relaxed Tb2GdGe3PdPt2 crystal.

Computed properties:
E_tot, eV for the cell shown: -108.35

Unit cell a=3.930 b=12.593 c=7.263 alpha=90.00 beta=90.00 gamma=90.00
Space group Amm2 (No. 38)
Inequivalent atoms, fractional coordinates:
Tb (0.000, 0.203, 0.000) [4 per cell]
Gd (0.000, 0.000, 0.389) [2 per cell]
Ge (0.500, 0.000, 0.050) [2 per cell]
Ge (0.500, 0.127, 0.670) [4 per cell]
Pd (0.000, 0.000, 0.798) [2 per cell]
Pt (0.500, 0.168, 0.296) [4 per cell]

=====

Entry 7:
DFT (GGA-PBE) results for a relaxed HfCoBi crystal.

Computed properties:
E_tot, eV for the cell shown: -64.02

Unit cell a=7.0500 b=7.0500 c=3.9094 alpha=90.00 beta=90.00 gamma=120.00
Space group P-62m (No. 189)
Inequivalent atoms, fractional coordinates:
Hf (0.0000, 0.6068, 0.0000) [3 per cell]
Co (0.0000, 0.0000, 0.0000) [1 per cell]
Co (0.3333, 0.6667, 0.5000) [2 per cell]
Bi (0.0000, 0.2751, 0.5000) [3 per cell]

=====

Entry 8:
DFT (GGA-PBE) results for a relaxed LiTmMgTe3 crystal.

Computed properties:
E_tot, eV for the cell shown: -94.11

Unit cell a=4.299 b=14.290 c=11.668 alpha=90.00 beta=90.00 gamma=90.00
Space group Cmcm (No. 63)
Inequivalent atoms, fractional coordinates:
Li (0.000, 0.238, 0.250) [4 per cell]
Tm (0.000, 0.000, 0.000) [4 per cell]
Mg (0.000, 0.478, 0.750) [4 per cell]
Te (0.000, 0.100, 0.750) [4 per cell]
Te (0.000, 0.359, 0.566) [8 per cell]

=====

Entry 9:
DFT (GGA-PBE) results for a relaxed CsHo3F10 crystal.

Computed properties:
E_tot, eV for the cell shown: -176.47

Unit cell a=13.460 b=7.773 c=4.130 alpha=90.00 beta=90.07 gamma=90.00
Space group Cm (No. 8)
Inequivalent atoms, fractional coordinates:
Cs (0.000, 0.000, 0.000) [2 per cell]
Ho (0.007, 0.500, 0.574) [2 per cell]
Ho (0.245, 0.263, 0.570) [4 per cell]
F (0.090, 0.273, 0.406) [4 per cell]
F (0.166, 0.500, 0.797) [2 per cell]
F (0.193, 0.000, 0.587) [2 per cell]
F (0.264, 0.202, 0.069) [4 per cell]
F (0.317, 0.500, 0.398) [2 per cell]
F (0.402, 0.210, 0.592) [4 per cell]
F (0.468, 0.000, 0.072) [2 per cell]

=====

Entry 10:
DFT (GGA-PBE) results for a relaxed CsZrIn crystal.

Computed properties:
E_tot, eV for the cell shown: -28.40

Unit cell a=8.376 b=8.376 c=8.376 alpha=90.00 beta=90.00 gamma=90.00
Space group F-43m (No. 216)
Inequivalent atoms, fractional coordinates:
Cs (0.000, 0.000, 0.000) [4 per cell]
Zr (0.250, 0.250, 0.250) [4 per cell]
In (0.250, 0.250, 0.750) [4 per cell]

=====

Entry 11:
DFT (GGA-PBE) results for a relaxed LaAgPbS3 crystal.

Computed properties:
ΔE to the lowest computed polymorph, meV per atom: 25.8
E_tot, eV for the cell shown: -121.08

Unit cell a=10.934 b=4.186 c=13.104 alpha=90.00 beta=90.00 gamma=90.00
Space group Pnma (No. 62)
Inequivalent atoms, fractional coordinates:
La (0.019, 0.250, 0.230) [4 per cell]
Ag (0.232, 0.250, 0.724) [4 per cell]
Pb (0.201, 0.750, 0.498) [4 per cell]
S (0.038, 0.250, 0.616) [4 per cell]
S (0.096, 0.750, 0.099) [4 per cell]
S (0.240, 0.750, 0.840) [4 per cell]

=====

Entry 12:
DFT (GGA-PBE) results for a relaxed GaBIr crystal.

Computed properties:
E_tot, eV for the cell shown: -72.90

Unit cell a=5.325 b=5.325 c=5.325 alpha=90.00 beta=90.00 gamma=90.00
Space group F-43m (No. 216)
Inequivalent atoms, fractional coordinates:
Ga (0.000, 0.000, 0.000) [4 per cell]
B (0.250, 0.250, 0.250) [4 per cell]
Ir (0.000, 0.000, 0.500) [4 per cell]

=====

Entry 13:
DFT (GGA-PBE) results for a relaxed BeRe2Sn crystal.

Computed properties:
E_tot, eV for the cell shown: -121.94

Unit cell a=6.216 b=6.216 c=6.216 alpha=90.00 beta=90.00 gamma=90.00
Space group F-43m (No. 216)
Inequivalent atoms, fractional coordinates:
Be (0.000, 0.000, 0.000) [4 per cell]
Re (0.000, 0.000, 0.500) [4 per cell]
Re (0.250, 0.250, 0.250) [4 per cell]
Sn (0.250, 0.250, 0.750) [4 per cell]

=====

Entry 14:
DFT (GGA-PBE) results for a relaxed BeNbCdIr crystal.

Computed properties:
ΔE to the lowest computed polymorph, meV per atom: 303.4
E_tot, eV for the cell shown: -90.18

Unit cell a=6.247 b=6.247 c=6.247 alpha=90.00 beta=90.00 gamma=90.00
Space group F-43m (No. 216)
Inequivalent atoms, fractional coordinates:
Be (0.000, 0.000, 0.000) [4 per cell]
Nb (0.250, 0.250, 0.250) [4 per cell]
Cd (0.000, 0.000, 0.500) [4 per cell]
Ir (0.250, 0.250, 0.750) [4 per cell]

=====

Entry 15:
DFT (GGA-PBE) results for a relaxed Cu5Ag4 crystal.

Computed properties:
ΔE to the lowest computed polymorph, meV per atom: 34.5
E_tot, eV for the cell shown: -58.42
DFT formation energy, meV/atom: 75.0

Unit cell a=10.983 b=2.826 c=8.731 alpha=90.00 beta=104.95 gamma=90.00
Space group C2/m (No. 12)
Inequivalent atoms, fractional coordinates:
Cu (0.000, 0.000, 0.000) [2 per cell]
Cu (0.012, 0.000, 0.708) [4 per cell]
Cu (0.163, 0.500, 0.906) [4 per cell]
Ag (0.141, 0.500, 0.537) [4 per cell]
Ag (0.176, 0.500, 0.218) [4 per cell]

=====

Entry 16:
DFT (GGA-PBE) results for a relaxed Li2Mg2AlZnAg2 crystal.

Computed properties:
E_tot, eV for the cell shown: -19.34

Unit cell a=4.538 b=4.538 c=6.413 alpha=90.00 beta=90.00 gamma=90.00
Space group P-4m2 (No. 115)
Inequivalent atoms, fractional coordinates:
Li (0.000, 0.500, 0.244) [2 per cell]
Mg (0.000, 0.000, 0.000) [1 per cell]
Mg (0.500, 0.500, 0.500) [1 per cell]
Al (0.000, 0.000, 0.500) [1 per cell]
Zn (0.500, 0.500, 0.000) [1 per cell]
Ag (0.000, 0.500, 0.746) [2 per cell]

=====

Entry 17:
DFT (GGA-PBE) results for a relaxed LaFe3 crystal.

Computed properties:
E_tot, eV for the cell shown: -55.86
DFT formation energy, meV/atom: 479.1

Unit cell a=3.820 b=3.820 c=8.845 alpha=90.00 beta=90.00 gamma=90.00
Space group I4/mmm (No. 139)
Inequivalent atoms, fractional coordinates:
La (0.000, 0.000, 0.000) [2 per cell]
Fe (0.000, 0.000, 0.500) [2 per cell]
Fe (0.000, 0.500, 0.250) [4 per cell]

=====

Entry 18:
DFT (GGA-PBE) results for a relaxed NaFeGeSe3 crystal.

Computed properties:
E_tot, eV for the cell shown: -54.32

Unit cell a=7.170 b=3.726 c=10.560 alpha=90.00 beta=106.90 gamma=90.00
Space group P2_1/m (No. 11)
Inequivalent atoms, fractional coordinates:
Na (0.044, 0.250, 0.191) [2 per cell]
Fe (0.464, 0.750, 0.866) [2 per cell]
Ge (0.392, 0.250, 0.555) [2 per cell]
Se (0.219, 0.750, 0.640) [2 per cell]
Se (0.291, 0.250, 0.929) [2 per cell]
Se (0.372, 0.750, 0.218) [2 per cell]

=====

Entry 19:
DFT (GGA-PBE) results for a relaxed Hf3Zr3FeSn2 crystal.

Computed properties:
ΔE to the lowest computed polymorph, meV per atom: 0.0
E_tot, eV for the cell shown: -75.44

Unit cell a=7.9730 b=7.9730 c=3.4584 alpha=90.00 beta=90.00 gamma=120.00
Space group P-62m (No. 189)
Inequivalent atoms, fractional coordinates:
Hf (0.0000, 0.2373, 0.0000) [3 per cell]
Zr (0.0000, 0.6098, 0.5000) [3 per cell]
Fe (0.0000, 0.0000, 0.5000) [1 per cell]
Sn (0.3333, 0.6667, 0.0000) [2 per cell]

=====

Entry 20:
DFT (GGA-PBE) results for a relaxed MgTcPO crystal.

Computed properties:
ΔE to the lowest computed polymorph, meV per atom: 0.0
E_tot, eV for the cell shown: -53.75

Unit cell a=3.985 b=3.985 c=8.523 alpha=90.00 beta=90.00 gamma=90.00
Space group P4/nmm (No. 129, origin choice 2)
Inequivalent atoms, fractional coordinates:
Mg (0.250, 0.250, 0.006) [2 per cell]
Tc (0.250, 0.750, 0.500) [2 per cell]
P (0.250, 0.250, 0.644) [2 per cell]
O (0.250, 0.750, 0.000) [2 per cell]

=====

Entry 21:
DFT (GGA-PBE) results for a relaxed BSbMo2 crystal.

Computed properties:
E_tot, eV for the cell shown: -65.65

Unit cell a=3.2817 b=3.2817 c=13.1287 alpha=90.00 beta=90.00 gamma=120.00
Space group P6_3/mmc (No. 194)
Inequivalent atoms, fractional coordinates:
B (0.0000, 0.0000, 0.0000) [2 per cell]
Sb (0.3333, 0.6667, 0.2500) [2 per cell]
Mo (0.3333, 0.6667, 0.5864) [4 per cell]

=====

Entry 22:
DFT (GGA-PBE) results for a relaxed InAg3Te4Os crystal.

Computed properties:
E_tot, eV for the cell shown: -33.26

Unit cell a=6.619 b=6.619 c=6.619 alpha=90.00 beta=90.00 gamma=90.00
Space group P-43m (No. 215)
Inequivalent atoms, fractional coordinates:
In (0.000, 0.000, 0.000) [1 per cell]
Ag (0.000, 0.500, 0.500) [3 per cell]
Te (0.272, 0.272, 0.272) [4 per cell]
Os (0.500, 0.500, 0.500) [1 per cell]

=====

Entry 23:
DFT (GGA-PBE) results for a relaxed Zr4NiSbC2 crystal.

Computed properties:
ΔE to the lowest computed polymorph, meV per atom: 0.0
E_tot, eV for the cell shown: -67.31

Unit cell a=3.3779 b=3.3779 c=13.5857 alpha=90.00 beta=90.00 gamma=120.00
Space group P-6m2 (No. 187)
Inequivalent atoms, fractional coordinates:
Zr (0.0000, 0.0000, 0.1388) [2 per cell]
Zr (0.6667, 0.3333, 0.3277) [2 per cell]
Ni (0.6667, 0.3333, 0.0000) [1 per cell]
Sb (0.0000, 0.0000, 0.5000) [1 per cell]
C (0.3333, 0.6667, 0.2363) [2 per cell]